# TaZn2TcMo

A relaxed structure of TaZn2TcMo (PBE-GGA, Alexandria via LeMat-Bulk).

abc: 4.7892 4.6676 4.7892
angles: 90.00 90.00 90.00
With the nearest neighbours (Å) after each atom.
Fractional positions:
Tc (0.5000, 0.5000, 0.5000)  8 Zn 3.34, 4 Ta 3.39
Ta (0.0000, 0.5000, 0.0000)  2 Mo 2.33
Zn (0.0000, 0.0000, 0.5000)  2 Mo 2.39
Zn (0.5000, 0.0000, 0.0000)  2 Mo 2.39
Mo (0.0000, 0.0000, 0.0000)  2 Ta 2.33, 4 Zn 2.39

Values from the calculation:
The value obtained for the density is 7844 kg/m3. Its energy of formation from the pure elements is 1.56 eV per atom.